## PrErTePb (PBE)

Data for crystalline PrErTePb at its relaxed geometry. Values from VASP.

## Properties
E_form (uncorrected) ... -0.952 eV per atom
M_tot ... 0.00 μB/atom

The structure in Quantum ESPRESSO input format:
```
&SYSTEM
  ibrav = 0, nat = 4, ntyp = 4
/
ATOMIC_SPECIES
Pr 140.91 Pr.upf
Er 167.26 Er.upf
Te 127.60 Te.upf
Pb 207.20 Pb.upf
CELL_PARAMETERS angstrom
2.2449 1.2961 7.3245
-2.2449 1.2961 7.3245
0.0000 -2.5922 7.3245
ATOMIC_POSITIONS crystal
Pr 0.0000 0.0000 0.0000
Er 0.5057 0.5057 0.5057
Te 0.7577 0.7577 0.7577
Pb 0.2487 0.2487 0.2487
```

## Na3DyPa2N6 (PBE)

Data for crystalline Na3DyPa2N6 at its relaxed geometry. Values from VASP.

## Properties
E_form (uncorrected) ... -0.950 eV per atom
M_tot ... 0.00 μB/atom

The structure in Quantum ESPRESSO input format:
```
&SYSTEM
  ibrav = 0, nat = 12, ntyp = 4
/
ATOMIC_SPECIES
Na 22.99 Na.upf
Dy 162.50 Dy.upf
Pa 231.04 Pa.upf
N 14.01 N.upf
CELL_PARAMETERS angstrom
3.0114 -5.4174 0.0000
3.0114 5.4174 0.0000
-1.8691 0.0000 5.7124
ATOMIC_POSITIONS crystal
Na 0.0000 0.0000 0.0000
Na 0.3355 0.6645 0.0000
Na 0.6645 0.3355 0.0000
Dy 0.5000 0.5000 0.5000
Pa 0.1638 0.8362 0.5000
Pa 0.8362 0.1638 0.5000
N 0.0815 0.4226 0.3100
N 0.2190 0.2190 0.6933
N 0.4226 0.0815 0.3100
N 0.5774 0.9185 0.6900
N 0.7810 0.7810 0.3067
N 0.9185 0.5774 0.6900
```

## YZrVCo2 (PBE)

Data for crystalline YZrVCo2 at its relaxed geometry. Values from VASP.

## Properties
Excess energy over the best structure of this formula in the dataset ... 0.00 kcal/mol of atoms
Formation energy from the elements ... 0.49 eV per atom
M_tot ... 0.16 μB/atom

The structure in Quantum ESPRESSO input format:
```
&SYSTEM
  ibrav = 0, nat = 5, ntyp = 4
/
ATOMIC_SPECIES
Y 88.91 Y.upf
Zr 91.22 Zr.upf
V 50.94 V.upf
Co 58.93 Co.upf
CELL_PARAMETERS angstrom
4.4591 0.0000 0.0000
0.0000 4.4591 0.0000
0.0000 0.0000 4.6928
ATOMIC_POSITIONS crystal
Y 0.0000 0.0000 0.0000
Zr 0.5000 0.5000 0.0000
V 0.5000 0.5000 0.5000
Co 0.0000 0.5000 0.5000
Co 0.5000 0.0000 0.5000
```

## Y8OsRu2 (PBE)

Data for crystalline Y8OsRu2 at its relaxed geometry. Values from VASP.

## Properties
Formation energy from the elements ... -0.17 eV per atom
M_tot ... 0.00 μB/atom

The structure in Quantum ESPRESSO input format:
```
&SYSTEM
  ibrav = 0, nat = 11, ntyp = 3
/
ATOMIC_SPECIES
Y 88.91 Y.upf
Os 190.23 Os.upf
Ru 101.07 Ru.upf
CELL_PARAMETERS angstrom
4.1672 -6.3224 0.0000
4.1672 6.3224 0.0000
-1.9666 0.0000 5.5717
ATOMIC_POSITIONS crystal
Y 0.0000 0.0000 0.0000
Y 0.0265 0.2837 0.5828
Y 0.1400 0.5668 0.1842
Y 0.2837 0.0265 0.5828
Y 0.4356 0.6936 0.7713
Y 0.5668 0.1400 0.1842
Y 0.6936 0.4356 0.7713
Y 0.7156 0.7156 0.3738
Os 0.3560 0.3560 0.3288
Ru 0.0544 0.6763 0.6912
Ru 0.6763 0.0544 0.6912
```

## Ta2InAs (PBE)

Data for crystalline Ta2InAs at its relaxed geometry. Values from VASP.

## Properties
Excess energy over the best structure of this formula in the dataset ... 1.39 kcal/mol of atoms
Formation energy from the elements ... 0.03 eV per atom
M_tot ... 0.00 μB/atom

The structure in Quantum ESPRESSO input format:
```
&SYSTEM
  ibrav = 0, nat = 4, ntyp = 3
/
ATOMIC_SPECIES
Ta 180.95 Ta.upf
In 114.82 In.upf
As 74.92 As.upf
CELL_PARAMETERS angstrom
1.7604 -2.3207 0.0000
1.7604 2.3207 0.0000
0.0000 0.0000 10.5516
ATOMIC_POSITIONS crystal
Ta 0.0000 0.0000 0.0000
Ta 0.5000 0.5000 0.2124
In 0.5000 0.5000 0.7609
As 0.0000 0.0000 0.4019
```

## TbAg2GeS4 (PBE)

Data for crystalline TbAg2GeS4 at its relaxed geometry. Values from VASP.

## Properties
E_form (uncorrected) ... -0.676 eV per atom
M_tot ... 0.00 μB/atom

The structure in Quantum ESPRESSO input format:
```
&SYSTEM
  ibrav = 0, nat = 16, ntyp = 4
/
ATOMIC_SPECIES
Tb 158.93 Tb.upf
Ag 107.87 Ag.upf
Ge 72.64 Ge.upf
S 32.06 S.upf
CELL_PARAMETERS angstrom
-3.7481 3.9518 5.5074
3.7481 -3.9518 5.5074
3.7481 3.9518 -5.5074
ATOMIC_POSITIONS crystal
Tb 0.0000 0.0000 0.0000
Tb 0.5000 0.0000 0.5000
Ag 0.0000 0.5000 0.5000
Ag 0.5000 0.0000 0.0000
Ag 0.5000 0.5000 0.0000
Ag 0.5000 0.5000 0.5000
Ge 0.0000 0.0000 0.5000
Ge 0.0000 0.5000 0.0000
S 0.2339 0.2495 0.9844
S 0.2349 0.7505 0.4844
S 0.2379 0.2385 0.5007
S 0.2379 0.7372 0.9993
S 0.7621 0.2628 0.0007
S 0.7621 0.7615 0.4993
S 0.7651 0.2495 0.5156
S 0.7661 0.7505 0.0156
```